(1)
Entry from Alexandria: a geometry-optimized TlSnSbPb structure (PBE).

Cell: 3.3420 3.3420 10.6864 Å, 89.99 90.01 89.96°
Sites, in units of the cell vectors:
Tl 0.6450 0.3550 0.9716
Sn 0.1476 0.8524 0.7155
Sb 0.1465 0.8535 0.2251
Pb 0.6459 0.3541 0.4767

Output
Crystal system   monoclinic
Space-group type   Cm (8)
Energy above the most stable polymorph in this dataset   0 meV per atom

---

(2)
Entry from Alexandria: a geometry-optimized TlSnSbPb structure (PBE).

Cell: 5.5012 5.5012 5.5012 Å, 60.00 60.00 60.00°
Sites, in units of the cell vectors:
Pb 0.7500 0.7500 0.7500
Sb 0.0000 0.0000 0.0000
Tl 0.5000 0.5000 0.5000
Sn 0.2500 0.2500 0.2500

Output
Crystal system   cubic
Space-group type   F-43m (216)
Energy above the most stable polymorph in this dataset   13 meV per atom

---

(3)
Entry from Alexandria: a geometry-optimized Tl4SnSb2Pb2 structure (PBE).

Cell: 6.5078 7.4975 7.4975 Å, 54.41 77.59 77.59°
Sites, in units of the cell vectors:
Tl 0.2737 0.5991 0.1202
Tl 0.7263 0.8798 0.4009
Tl 0.7263 0.4009 0.8798
Tl 0.2737 0.1202 0.5991
Sn 0.5000 0.0000 0.0000
Sb 0.1188 0.1744 0.1744
Sb 0.8812 0.8256 0.8256
Pb 0.2426 0.6128 0.6128
Pb 0.7574 0.3872 0.3872

Output
Crystal system   monoclinic
Space-group type   C2/m (12)

---

(4)
Entry from Alexandria: a geometry-optimized SrSb2Pb2 structure (PBE).

Cell: 4.6510 4.8524 14.4164 Å, 90.00 99.28 90.00°
Sites, in units of the cell vectors:
Sr 0.3376 0.2500 0.6753
Sr 0.6624 0.7500 0.3247
Sb 0.7496 0.2500 0.4993
Sb 0.2504 0.7500 0.5007
Sb 0.8709 0.7500 0.7419
Sb 0.1291 0.2500 0.2581
Pb 0.0535 0.7500 0.1070
Pb 0.4519 0.7500 0.9038
Pb 0.9465 0.2500 0.8930
Pb 0.5481 0.2500 0.0962

Output
Crystal system   orthorhombic
Space-group type   Cmcm (63)

---

Number 1: N(E_F) 1.25 states/eV per cell, formation energy without anion corrections 0.06 eV/atom. Number 2: N(E_F) 2.66 states/eV per cell, formation energy without anion corrections 0.07 eV/atom. Number 3: N(E_F) 4.67 states/eV per cell, formation energy without anion corrections 0.10 eV/atom. Number 4: N(E_F) 5.00 states/eV per cell, formation energy without anion corrections -0.35 eV/atom.